Record 1
DFT (PBE-GGA) results for an optimized crystal structure of BeRhW.

Cell: 5.2251 5.2251 2.7964 Å, 74.48 74.48 31.04°
Sites, in units of the cell vectors:
Be1 0.9881 0.9881 0.0119
Rh1 0.3532 0.3532 0.6468
W1 0.6586 0.6586 0.3414

Properties
The calculation puts the total magnetization at 0.00 μB per cell. The calculation puts the density of states at the Fermi level at 1.8 states/eV/f.u. Its energy above the lowest structure with this stoichiometry is 0 meV/atom. Its space group is I4mm (107).

Record 2
DFT (PBE-GGA) results for an optimized crystal structure of BeRh2W.

Cell: 4.5224 4.5224 4.5224 Å, 129.34 129.34 74.46°
Sites, in units of the cell vectors:
Be1 0.7500 0.2500 0.5000
Rh1 0.0000 0.0000 0.0000
Rh2 0.5000 0.5000 0.0000
W1 0.2500 0.7500 0.5000

Properties
The calculation puts the total magnetization at 0.00 μB per cell. The uncorrected energy is -8.0784 eV/atom. The calculation puts the density of states at the Fermi level at 1.4 states/eV/f.u. Its space group is I4/mmm (139).